Entry 1:
Crystalline LuRePO at its relaxed geometry, computed with PBE-GGA.

```
LuRePO
1.0
3.883 0.000 0.000
0.000 3.883 0.000
0.000 0.000 8.095
Lu Re P O
2 2 2 2
Cartesian
0.971 0.971 1.029 Lu
2.912 2.912 7.066 Lu
0.971 2.912 4.048 Re
2.912 0.971 4.048 Re
0.971 0.971 5.471 P
2.912 2.912 2.624 P
0.971 2.912 0.000 O
2.912 0.971 0.000 O
```

Summary:
- excess energy over the best structure of this formula in the dataset (meV/atom) = 0.0

=====

Entry 2:
Crystalline Ag2Ge5 at its relaxed geometry, computed with PBE-GGA.

```
Ag2Ge5
1.0
2.337 1.349 7.522
-2.337 1.349 7.522
0.000 -2.699 7.522
Ag Ge
2 5
Cartesian
0.000 0.000 0.000 Ag
0.000 0.000 11.005 Ag
0.000 0.000 5.305 Ge
0.000 0.000 8.292 Ge
0.000 0.000 13.987 Ge
0.000 0.000 16.816 Ge
0.000 0.000 19.502 Ge
```

Summary:
- electronic total energy (eV per atom) = -3.804